First-principles (PBE) data for a relaxed structure of LaNd4Ho2, as listed in Alexandria via LeMat-Bulk.

SG: P1
Polymorph energy (0 for the lowest one): 0 meV/atom
ΔH_f (0 K): 0.070 eV per atom

a b c (Å): 8.631 8.817 6.731
angles (deg): 99.55 105.94 91.29
Atoms (fractional coordinates):
Nd1 0.745 0.933 0.590
Nd2 0.931 0.611 0.623
Nd3 0.454 0.190 0.442
Nd4 0.866 0.217 0.353
Nd5 0.522 0.069 0.937
Nd6 0.157 0.480 0.267
Nd7 0.824 0.759 0.109
Nd8 0.509 0.614 0.669
Ho1 0.218 0.348 0.767
Ho2 0.568 0.460 0.175
Ho3 0.363 0.770 0.118
Ho4 0.807 0.332 0.856
La1 0.107 0.063 0.043
La2 0.181 0.905 0.551